1.
## KAl3Pb (PBEsol)

Data for a relaxed KAl3Pb crystal.

Values from the calculation:
formation energy from the elements = 686 kJ/mol of formula units
M_tot = 0.000 μB per atom

Cell: 5.4733 5.4733 5.4733 Å, 90.00 90.00 90.00°
Sites, in units of the cell vectors:
1 K 0.0000 0.0000 0.0000
2 Al 0.0000 0.0000 0.5000
3 Al 0.0000 0.5000 0.0000
4 Al 0.5000 0.0000 0.0000
5 Pb 0.5000 0.5000 0.5000

=====

2.
## KAl2Pb2 (PBEsol)

Data for a relaxed KAl2Pb2 crystal.

Values from the calculation:
formation energy from the elements = -5 kJ/mol of formula units
M_tot = 0.000 μB per atom

Cell: 8.9058 8.9058 8.9058 Å, 153.08 153.08 38.44°
Sites, in units of the cell vectors:
1 K 0.0000 0.0000 0.0000
2 Al 0.2500 0.7500 0.5000
3 Al 0.7500 0.2500 0.5000
4 Pb 0.3683 0.3683 0.0000
5 Pb 0.6317 0.6317 0.0000

=====

3.
## KAlPt2 (PBEsol)

Data for a relaxed KAlPt2 crystal.

Values from the calculation:
formation energy from the elements = -18 kJ/mol of formula units
M_tot = 0.000 μB per atom

Cell: 3.2996 3.2996 7.6078 Å, 90.00 90.00 90.00°
Sites, in units of the cell vectors:
1 K 0.0000 0.0000 0.0000
2 Al 0.5000 0.5000 0.6189
3 Pt 0.0000 0.0000 0.5090
4 Pt 0.5000 0.5000 0.2922

=====

4.
## KAl3Pt (PBEsol)

Data for a relaxed KAl3Pt crystal.

Values from the calculation:
formation energy from the elements = -72 kJ/mol of formula units
M_tot = 0.000 μB per atom

Cell: 4.8486 4.8486 4.8486 Å, 90.00 90.00 90.00°
Sites, in units of the cell vectors:
1 K 0.0000 0.0000 0.0000
2 Al 0.0000 0.5000 0.5000
3 Al 0.5000 0.0000 0.5000
4 Al 0.5000 0.5000 0.0000
5 Pt 0.5000 0.5000 0.5000

=====

5.
## KRb3Al (PBEsol)

Data for a relaxed KRb3Al crystal.

Values from the calculation:
formation energy from the elements = 154 kJ/mol of formula units
distance to the lowest polymorph of the same formula = 0 meV per atom
M_tot = 0.000 μB per atom

Cell: 7.0866 7.0866 7.0866 Å, 90.00 90.00 90.00°
Sites, in units of the cell vectors:
1 K 0.0000 0.0000 0.0000
2 Rb 0.0000 0.5000 0.5000
3 Rb 0.5000 0.0000 0.5000
4 Rb 0.5000 0.5000 0.0000
5 Al 0.5000 0.5000 0.5000

=====

6.
## KRbAl3 (PBEsol)

Data for a relaxed KRbAl3 crystal.

Values from the calculation:
formation energy from the elements = 632 kJ/mol of formula units
M_tot = 0.000 μB per atom

Cell: 6.0384 6.0384 6.0384 Å, 90.00 90.00 90.00°
Sites, in units of the cell vectors:
1 K 0.0000 0.0000 0.0000
2 Rb 0.5000 0.5000 0.5000
3 Al 0.0000 0.5000 0.5000
4 Al 0.5000 0.0000 0.5000
5 Al 0.5000 0.5000 0.0000

=====

7.
## KRb3Al (PBEsol)

Data for a relaxed KRb3Al crystal.

Values from the calculation:
formation energy from the elements = 351 kJ/mol of formula units
distance to the lowest polymorph of the same formula = 410 meV per atom
M_tot = 0.001 μB per atom

Cell: 7.3908 7.3908 7.3908 Å, 90.00 90.00 90.00°
Sites, in units of the cell vectors:
1 K 0.0000 0.0000 0.0000
2 Rb 0.0000 0.0000 0.5000
3 Rb 0.0000 0.5000 0.0000
4 Rb 0.5000 0.0000 0.0000
5 Al 0.5000 0.5000 0.5000

=====

8.
## K2RbAlTc (PBEsol)

Data for a relaxed K2RbAlTc crystal.

Values from the calculation:
formation energy from the elements = 789 kJ/mol of formula units
M_tot = 0.888 μB per atom

Cell: 6.4368 6.4368 6.5986 Å, 90.00 90.00 90.00°
Sites, in units of the cell vectors:
1 K 0.0000 0.5000 0.0000
2 K 0.5000 0.0000 0.0000
3 Rb 0.0000 0.0000 0.5000
4 Al 0.0000 0.0000 0.0000
5 Tc 0.5000 0.5000 0.5000

=====

9.
## KAlRe2 (PBEsol)

Data for a relaxed KAlRe2 crystal.

Values from the calculation:
formation energy from the elements = 351 kJ/mol of formula units
M_tot = 0.000 μB per atom

Cell: 6.0086 6.0086 5.0471 Å, 114.70 114.70 25.21°
Sites, in units of the cell vectors:
1 K 0.0000 0.0000 0.0000
2 Al 0.5000 0.5000 0.5000
3 Re 0.2116 0.2116 0.7113
4 Re 0.7884 0.7884 0.2887

=====

10.
## KAlRe2 (PBEsol)

Data for a relaxed KAlRe2 crystal.

Values from the calculation:
formation energy from the elements = 250 kJ/mol of formula units
M_tot = 0.000 μB per atom

Cell: 10.3143 10.3143 10.3143 Å, 15.43 15.43 15.43°
Sites, in units of the cell vectors:
1 K 0.0000 0.0000 0.0000
2 Al 0.5000 0.5000 0.5000
3 Re 0.2364 0.2364 0.2364
4 Re 0.7636 0.7636 0.7636

=====

11.
## KAlRe2 (PBEsol)

Data for a relaxed KAlRe2 crystal.

Values from the calculation:
formation energy from the elements = 215 kJ/mol of formula units
M_tot = 0.000 μB per atom

Cell: 2.7525 3.8276 7.8778 Å, 90.00 90.00 90.00°
Sites, in units of the cell vectors:
1 K 0.0000 0.0000 0.0000
2 Al 0.5000 0.5000 0.6646
3 Re 0.0000 0.0000 0.4802
4 Re 0.5000 0.5000 0.3393

=====

12.
## KAlReSn2 (PBEsol)

Data for a relaxed KAlReSn2 crystal.

Values from the calculation:
formation energy from the elements = 794 kJ/mol of formula units
M_tot = 0.739 μB per atom

Cell: 5.1480 5.1480 5.4136 Å, 90.00 90.00 90.00°
Sites, in units of the cell vectors:
1 K 0.0000 0.0000 0.0000
2 Al 0.0000 0.0000 0.5000
3 Re 0.5000 0.5000 0.0000
4 Sn 0.0000 0.5000 0.5000
5 Sn 0.5000 0.0000 0.5000

=====

13.
## K3AlRh (PBEsol)

Data for a relaxed K3AlRh crystal.

Values from the calculation:
formation energy from the elements = 639 kJ/mol of formula units
M_tot = 0.316 μB per atom

Cell: 6.2456 6.2456 6.2456 Å, 90.00 90.00 90.00°
Sites, in units of the cell vectors:
1 K 0.0000 0.0000 0.5000
2 K 0.0000 0.5000 0.0000
3 K 0.5000 0.0000 0.0000
4 Al 0.0000 0.0000 0.0000
5 Rh 0.5000 0.5000 0.5000

=====

14.
## K2AlRu (PBEsol)

Data for a relaxed K2AlRu crystal.

Values from the calculation:
formation energy from the elements = 106 kJ/mol of formula units
M_tot = 0.000 μB per atom

Cell: 3.4181 3.4181 9.9800 Å, 90.00 90.00 90.00°
Sites, in units of the cell vectors:
1 K 0.0000 0.0000 0.0000
2 K 0.5000 0.5000 0.4180
3 Al 0.5000 0.5000 0.7275
4 Ru 0.0000 0.0000 0.6861

=====

15.
## KAl2Ru (PBEsol)

Data for a relaxed KAl2Ru crystal.

Values from the calculation:
formation energy from the elements = 29 kJ/mol of formula units
distance to the lowest polymorph of the same formula = 0 meV per atom
M_tot = 0.000 μB per atom

Cell: 6.6649 6.6649 6.6649 Å, 37.14 37.14 37.14°
Sites, in units of the cell vectors:
1 K 0.0000 0.0000 0.0000
2 Al 0.1935 0.1935 0.1935
3 Al 0.8065 0.8065 0.8065
4 Ru 0.5000 0.5000 0.5000

=====

16.
## KAlRu (PBEsol)

Data for a relaxed KAlRu crystal.

Values from the calculation:
formation energy from the elements = 78 kJ/mol of formula units
distance to the lowest polymorph of the same formula = 0 meV per atom
M_tot = 0.000 μB per atom

Cell: 6.4467 6.4467 6.4467 Å, 149.99 149.99 42.95°
Sites, in units of the cell vectors:
1 K 0.0000 0.0000 0.0000
2 Al 0.2649 0.2649 0.0000
3 Ru 0.7220 0.7220 0.0000

=====

17.
## KAl2Ru (PBEsol)

Data for a relaxed KAl2Ru crystal.

Values from the calculation:
formation energy from the elements = 297 kJ/mol of formula units
distance to the lowest polymorph of the same formula = 694 meV per atom
M_tot = 0.000 μB per atom

Cell: 4.6468 4.6468 4.6468 Å, 60.00 60.00 60.00°
Sites, in units of the cell vectors:
1 K 0.0000 0.0000 0.0000
2 Al 0.5000 0.5000 0.5000
3 Al 0.7500 0.7500 0.7500
4 Ru 0.2500 0.2500 0.2500

=====

18.
## K2AlRu (PBEsol)

Data for a relaxed K2AlRu crystal.

Values from the calculation:
formation energy from the elements = 389 kJ/mol of formula units
M_tot = 0.002 μB per atom

Cell: 2.8084 2.8084 11.4192 Å, 90.00 90.00 102.31°
Sites, in units of the cell vectors:
1 K 0.0000 0.0000 0.2318
2 K 0.0000 0.0000 0.7682
3 Al 0.5000 0.5000 0.5000
4 Ru 0.5000 0.5000 0.0000

=====

19.
## KAl2Ru (PBEsol)

Data for a relaxed KAl2Ru crystal.

Values from the calculation:
formation energy from the elements = 59 kJ/mol of formula units
distance to the lowest polymorph of the same formula = 77 meV per atom
M_tot = 0.000 μB per atom

Cell: 3.3057 3.3057 7.8581 Å, 90.00 90.00 90.00°
Sites, in units of the cell vectors:
1 K 0.0000 0.0000 0.0000
2 Al 0.0000 0.0000 0.4252
3 Al 0.5000 0.5000 0.6472
4 Ru 0.5000 0.5000 0.3360

=====

20.
## KAlRu (PBEsol)

Data for a relaxed KAlRu crystal.

Values from the calculation:
formation energy from the elements = 161 kJ/mol of formula units
distance to the lowest polymorph of the same formula = 284 meV per atom
M_tot = 0.001 μB per atom

Cell: 2.9182 2.9182 7.6582 Å, 90.00 90.00 120.00°
Sites, in units of the cell vectors:
1 K 0.0000 0.0000 0.0000
2 Al 0.6667 0.3333 0.4039
3 Ru 0.3333 0.6667 0.6456